DFT (PBE+U) results for a geometry-optimized TlVCdO5 structure.

Calculated total energy = -5.690 eV/atom
V = 14.53 A^3/atom
Total magnetization = 0.00 μB/f.u.

Cell and atoms, written as CIF:
```
data_TlVCdO5
_cell_length_a 7.1617
_cell_length_b 9.2520
_cell_length_c 7.4801
_cell_angle_alpha 90.00
_cell_angle_beta 110.22
_cell_angle_gamma 90.00
_space_group_name_H-M_alt 'C 1 2/c 1'
_space_group_IT_number 15
loop_
_space_group_symop_operation_xyz
'x,y,z'
'-x,-y,-z'
'-x,y,-z+1/2'
'x,-y,z+1/2'
'x+1/2,y+1/2,z'
'-x+1/2,-y+1/2,-z'
'-x+1/2,y+1/2,-z+1/2'
'x+1/2,-y+1/2,z+1/2'
loop_
_atom_site_label
_atom_site_type_symbol
_atom_site_fract_x
_atom_site_fract_y
_atom_site_fract_z
_atom_site_occupancy
Tl1 Tl 0.0000 0.0000 0.0000 1
V1 V 0.0000 0.3283 0.2500 1
Cd1 Cd 0.0000 0.3410 0.7500 1
O1 O 0.0000 0.1059 0.7500 1
O2 O 0.1392 0.2168 0.1543 1
O3 O 0.1537 0.4434 0.4254 1
```